The following is a DFT calculation (GGA+U) of a geometry-optimized Mn2SeO structure.

The structure in POSCAR format:
```
Mn2SeO
1.0
3.553 0.000 0.000
-1.776 3.077 0.000
0.000 0.000 17.650
Mn Se O
6 3 3
direct
0.000 0.000 0.235
0.000 0.000 0.765
0.333 0.667 0.431
0.333 0.667 0.902
0.667 0.333 0.098
0.667 0.333 0.569
0.000 0.000 0.000
0.333 0.667 0.667
0.667 0.333 0.333
0.000 0.000 0.500
0.333 0.667 0.167
0.667 0.333 0.833
```

Density ... 5.3 g/cm³
Space-group type ... No. 166
Total energy ... -6.768 eV/atom